A relaxed PmPr2Th3Bi6 crystal, computed with PBE.

For the raw total energy, the calculation gives -5.757 eV/atom. As for the energy relative to the elements: -769 meV per atom. The magnetization comes out at 0.00 μB per cell. The density of states at the Fermi level comes out at 13.385 states/eV per cell.

The space group is C2/m (No. 12) and the conventional cell measures 20.103, 4.611 and 9.206 Å, with angles of 90.00, 103.26 and 90.00 degrees. Symmetry generates all atoms from Pm at (0.000, 0.000, 0.000), Pr at (0.166, 0.500, 0.333), Th at (0.000, 0.000, 0.500), Th at (0.167, 0.500, 0.833), Bi at (0.001, 0.500, 0.751), Bi at (0.166, 0.000, 0.081) and Bi at (0.166, 0.000, 0.585).